The following is a GGA+U calculation of a geometry-optimized NaSr2V2O6 structure, from Alexandria.

The structure in extended XYZ format:
```
11
Lattice="2.974 1.717 5.909 -2.974 1.717 5.909 0.000 -3.435 5.909" Properties=species:S:1:pos:R:3 pbc="T T T"
Na 0.000 0.000 0.000
Sr 0.000 0.000 3.574
Sr 0.000 0.000 14.155
V 0.000 0.000 7.456
V 0.000 0.000 10.273
O -1.509 -0.871 10.142
O 0.000 -1.743 7.586
O -1.509 0.871 7.586
O 1.509 -0.871 10.142
O 0.000 1.743 10.142
O 1.509 0.871 7.586
```

Properties
VASP energy (eV/cell): -72.0
Crystal system: trigonal
SG: R-3m